[1]
Be4TlZn | Alexandria via LeMat-Bulk | PBE-GGA | optimized geometry; formation energy = 0.46 eV/atom; space-group type = F-43m
1.0
0.0000 3.3351 3.3351
3.3351 0.0000 3.3351
3.3351 3.3351 0.0000
Be Tl Zn
4 1 1
Cartesian
2.5209 2.5209 2.5209
4.1492 4.1492 2.5209
4.1492 2.5209 4.1492
2.5209 4.1492 4.1492
0.0000 0.0000 0.0000
5.0026 5.0026 5.0026



[2]
Ho2ThPd9 | Alexandria via LeMat-Bulk | PBE-GGA | optimized geometry; formation energy = -0.94 eV/atom; space-group type = P4/mmm
1.0
4.1526 0.0000 0.0000
0.0000 4.1526 0.0000
0.0000 0.0000 12.4039
Ho Th Pd
2 1 9
Cartesian
0.0000 0.0000 2.0149
0.0000 0.0000 10.3889
0.0000 0.0000 6.2019
0.0000 2.0763 0.0000
0.0000 2.0763 4.1063
0.0000 2.0763 8.2975
2.0763 0.0000 0.0000
2.0763 0.0000 4.1063
2.0763 0.0000 8.2975
2.0763 2.0763 2.0545
2.0763 2.0763 6.2019
2.0763 2.0763 10.3494



[3]
RbLiReCl6 | Alexandria via LeMat-Bulk | PBE-GGA | optimized geometry; ΔE_f (raw) = -1210 meV per atom; space-group type = P-31c
1.0
6.5397 0.0000 0.0000
-3.2699 5.6636 0.0000
0.0000 0.0000 14.6533
Rb Li Re Cl
2 2 2 12
Cartesian
0.0000 0.0000 0.0000
0.0000 0.0000 7.3267
0.0000 3.7757 3.6633
3.2699 1.8879 10.9900
0.0000 3.7757 10.9900
3.2699 1.8879 3.6633
-1.0821 2.1610 9.6163
-1.9394 3.6460 12.3637
1.0821 2.1610 12.3637
-0.8573 5.5202 9.6163
2.4125 0.1434 2.2896
1.3304 2.0176 5.0370
1.9394 3.6460 9.6163
0.8573 5.5202 12.3637
4.1272 0.1434 5.0370
2.1878 3.5026 2.2896
5.2093 2.0176 2.2896
4.3520 3.5026 5.0370



[4]
SrGa2FeN | Alexandria via LeMat-Bulk | PBE-GGA | optimized geometry; ΔE_f (raw) = 2440 meV per atom; space-group type = P4/mmm
1.0
5.9110 0.0000 0.0000
0.0000 5.9110 0.0000
0.0000 0.0000 5.2312
Sr Ga Fe N
1 2 1 1
Cartesian
0.0000 0.0000 0.0000
0.0000 2.9555 0.0000
2.9555 0.0000 0.0000
0.0000 0.0000 2.6156
2.9555 2.9555 2.6156



[5]
Na4Np3VN8 | Alexandria via LeMat-Bulk | PBE-GGA | optimized geometry; ΔE_f (raw) = -746 meV per atom; space-group type = R-3m
1.0
3.3469 1.9323 5.6586
-3.3469 1.9323 5.6586
0.0000 -3.8647 5.6586
Na Np V N
4 3 1 8
Cartesian
0.0000 0.0000 0.0000
-1.6735 -0.9662 5.6586
-1.6735 0.9662 11.3172
0.0000 1.9323 5.6586
-3.3469 0.0000 8.4879
-1.6735 0.9662 2.8293
1.6735 0.9662 2.8293
0.0000 0.0000 8.4879
0.0000 0.0000 3.9030
-1.6473 -0.9511 9.5240
0.0000 -1.9022 7.4518
-1.6473 0.9511 7.4518
1.6473 -0.9511 9.5240
0.0000 1.9022 9.5240
1.6473 0.9511 7.4518
0.0000 0.0000 13.0729



[6]
K2Tb2NpS6 | Alexandria via LeMat-Bulk | PBE-GGA | optimized geometry; ΔE_f (raw) = -1720 meV per atom; space-group type = C2/m
1.0
3.4966 -6.0389 0.0000
3.4966 6.0389 0.0000
-2.3642 0.0000 7.5184
K Tb Np S
2 2 1 6
Cartesian
3.4966 3.9979 0.0000
3.4966 -3.9979 0.0000
2.3145 2.0069 3.7592
2.3145 -2.0069 3.7592
-1.1821 0.0000 3.7592
-0.0482 1.9872 5.2269
1.0834 0.0000 2.2933
-0.0482 -1.9872 5.2269
4.6773 1.9872 2.2915
3.5456 0.0000 5.2251
4.6773 -1.9872 2.2915



[7]
LuTlGa | Alexandria via LeMat-Bulk | PBE-GGA | optimized geometry; formation energy = -0.24 eV/atom; energy above the lowest structure with this stoichiometry = 0 meV per atom; space-group type = P3m1
1.0
4.7576 0.0000 0.0000
-2.3788 4.1202 0.0000
0.0000 0.0000 3.5656
Lu Tl Ga
1 1 1
Cartesian
0.0000 0.0000 0.0000
2.3788 1.3734 2.0933
0.0000 2.7468 1.2893



[8]
TcBPd2Ru | Alexandria via LeMat-Bulk | PBE-GGA | optimized geometry; formation energy = 2.16 eV/atom; space-group type = P4/mmm
1.0
4.8322 0.0000 0.0000
0.0000 4.8322 0.0000
0.0000 0.0000 4.5303
Tc B Pd Ru
1 1 2 1
Cartesian
0.0000 0.0000 0.0000
2.4161 2.4161 0.0000
0.0000 2.4161 2.2652
2.4161 0.0000 2.2652
0.0000 0.0000 2.2652



[9]
YMn2Si2C | Alexandria via LeMat-Bulk | PBE-GGA | optimized geometry; ΔE_f (raw) = -490 meV per atom; space-group type = P4/mmm
1.0
3.8873 0.0000 0.0000
0.0000 3.8873 0.0000
0.0000 0.0000 5.2108
Y Mn Si C
1 2 2 1
Cartesian
0.0000 0.0000 0.0000
0.0000 1.9436 2.6054
1.9436 0.0000 2.6054
1.9436 1.9436 1.1963
1.9436 1.9436 4.0145
0.0000 0.0000 2.6054



[10]
K2CdPb2 | Alexandria via LeMat-Bulk | PBE-GGA | optimized geometry; formation energy = 0.04 eV/atom; energy above the lowest structure with this stoichiometry = 164 meV per atom; space-group type = P4/mbm
1.0
10.5576 0.0000 0.0000
0.0000 10.5576 0.0000
0.0000 0.0000 3.6032
K Cd Pb
4 2 4
Cartesian
2.0766 3.2022 0.0000
3.2022 8.4810 0.0000
7.3554 2.0766 0.0000
8.4810 7.3554 0.0000
0.0000 0.0000 0.0000
5.2788 5.2788 0.0000
1.0490 6.3278 1.8016
4.2298 1.0490 1.8016
6.3278 9.5086 1.8016
9.5086 4.2298 1.8016



[11]
NiHPtAu2 | Alexandria via LeMat-Bulk | PBE-GGA | optimized geometry; VASP energy = -4.18 eV/atom; space-group type = P4/mmm
1.0
4.6387 0.0000 0.0000
0.0000 4.6387 0.0000
0.0000 0.0000 3.0985
Ni H Pt Au
1 1 1 2
Cartesian
0.0000 0.0000 0.0000
0.0000 0.0000 1.5493
2.3194 2.3194 0.0000
0.0000 2.3194 1.5493
2.3194 0.0000 1.5493



[12]
TaRuI2 | Alexandria via LeMat-Bulk | PBE-GGA | optimized geometry; ΔE_f (raw) = 1155 meV per atom; energy above the lowest structure with this stoichiometry = 208 meV per atom; space-group type = I-42d
1.0
-3.1015 3.1015 5.8775
3.1015 -3.1015 5.8775
3.1015 3.1015 -5.8775
Ta Ru I
2 2 4
Cartesian
0.0000 0.0000 0.0000
0.0000 3.1015 2.9388
3.1015 0.0000 2.9388
0.0000 0.0000 5.8775
1.5507 -1.4502 4.4082
1.6512 1.5507 1.4694
1.5507 4.5517 -1.4694
1.4502 1.5507 7.3469



Going through the records in order, we get calculated density values of 6.8, 11.8, 3.0, 2.7, 7.3, 4.3, 10.7, 6.6, 5.6, 5.0, 16.2, 7.9 g/cm3.